(1)
First-principles (PBE) data for an optimized crystal structure of MgScCr2Se, as listed in Alexandria via LeMat-Bulk.

Cell: 4.6810 4.6810 5.4248 Å, 90.00 90.00 90.00°
Space group P4/mmm (No. 123)
Asymmetric unit:
Mg  0.0000  0.0000  0.0000 [1 per cell]
Sc  0.0000  0.0000  0.5000 [1 per cell]
Cr  0.0000  0.5000  0.5000 [2 per cell]
Se  0.5000  0.5000  0.0000 [1 per cell]

ΔE_f (raw)	1393.6	meV/atom
energy	-4.74	eV per atom

(2)
First-principles (PBE) data for an optimized crystal structure of MgScCr2Sn, as listed in Alexandria via LeMat-Bulk.

Cell: 4.6947 4.6947 5.2811 Å, 90.00 90.00 90.00°
Space group P4/mmm (No. 123)
Asymmetric unit:
Mg  0.0000  0.0000  0.0000 [1 per cell]
Sc  0.0000  0.0000  0.5000 [1 per cell]
Cr  0.0000  0.5000  0.5000 [2 per cell]
Sn  0.5000  0.5000  0.0000 [1 per cell]

energy	-4.96	eV per atom

(3)
First-principles (PBE) data for an optimized crystal structure of MgSc2TaCr, as listed in Alexandria via LeMat-Bulk.

Cell: 5.2467 5.2467 4.4410 Å, 90.00 90.00 90.00°
Space group P4/mmm (No. 123)
Asymmetric unit:
Mg  0.0000  0.0000  0.0000 [1 per cell]
Sc  0.0000  0.5000  0.5000 [2 per cell]
Ta  0.5000  0.5000  0.5000 [1 per cell]
Cr  0.5000  0.5000  0.0000 [1 per cell]

energy	-6.22	eV per atom

(4)
First-principles (PBE) data for an optimized crystal structure of TbMgScCr, as listed in Alexandria via LeMat-Bulk.

Cell: 7.1526 7.1526 7.1526 Å, 90.00 90.00 90.00°
Space group F-43m (No. 216)
Asymmetric unit:
Tb  0.0000  0.0000  0.0000 [4 per cell]
Mg  0.2500  0.2500  0.2500 [4 per cell]
Sc  0.0000  0.0000  0.5000 [4 per cell]
Cr  0.2500  0.2500  0.7500 [4 per cell]

energy	-5.39	eV per atom

(5)
First-principles (PBE) data for an optimized crystal structure of MgScCrTe2, as listed in Alexandria via LeMat-Bulk.

Cell: 5.4137 5.4137 4.8753 Å, 90.00 90.00 90.00°
Space group P4/mmm (No. 123)
Asymmetric unit:
Mg  0.0000  0.0000  0.0000 [1 per cell]
Sc  0.5000  0.5000  0.5000 [1 per cell]
Cr  0.0000  0.0000  0.5000 [1 per cell]
Te  0.0000  0.5000  0.0000 [2 per cell]

ΔE_f (raw)	471.6	meV/atom
energy	-4.29	eV per atom

(6)
First-principles (PBE) data for an optimized crystal structure of Mg2ScTiCr, as listed in Alexandria via LeMat-Bulk.

Cell: 5.0554 5.0554 4.1850 Å, 90.00 90.00 90.00°
Space group P4/mmm (No. 123)
Asymmetric unit:
Mg  0.0000  0.5000  0.0000 [2 per cell]
Sc  0.0000  0.0000  0.5000 [1 per cell]
Ti  0.5000  0.5000  0.5000 [1 per cell]
Cr  0.5000  0.5000  0.0000 [1 per cell]

energy	-4.88	eV per atom

Results for magnetization: 6.79 6.08 0.00 3.44 4.54 0.00 (in μB/f.u., following the order of the records).